## one
{
  "formula": "Sc6Sn2C",
  "functional": "PBE-GGA",
  "state": "optimized geometry",
  "lattice": [[-3.209, 3.209, 4.533], [3.209, -3.209, 4.533], [3.209, 3.209, -4.533]],
  "species": ["Sc", "Sc", "Sc", "Sc", "Sc", "Sc", "Sn", "Sn", "C"],
  "frac_coords": [[0.245, 0.245, 0.491], [0.245, 0.755, 0.000], [0.246, 0.246, 0.000], [0.754, 0.754, 0.000], [0.755, 0.245, 0.000], [0.755, 0.755, 0.509], [0.250, 0.750, 0.500], [0.750, 0.250, 0.500], [0.000, 0.000, 0.000]],
  "total_magnetization_mub_per_cell": 0.00,
  "sg": "I4/mmm, No. 139"
}



## two
{
  "formula": "Sc6Sn2C",
  "functional": "PBE-GGA",
  "state": "optimized geometry",
  "lattice": [[-2.308, 3.250, 6.783], [2.308, -3.250, 6.783], [2.308, 3.250, -6.783]],
  "species": ["Sc", "Sc", "Sc", "Sc", "Sc", "Sc", "Sn", "Sn", "C"],
  "frac_coords": [[0.084, 0.356, 0.728], [0.217, 0.000, 0.217], [0.372, 0.644, 0.728], [0.628, 0.356, 0.272], [0.783, 0.000, 0.783], [0.916, 0.644, 0.272], [0.332, 0.832, 0.500], [0.668, 0.168, 0.500], [0.000, 0.500, 0.500]],
  "total_magnetization_mub_per_cell": 0.01,
  "sg": "Immm, No. 71"
}



Stability ranking, top and bottom: one is the most stable and two is the least stable.



## one
{
  "formula": "Sc4Sn2C",
  "functional": "PBE-GGA",
  "state": "optimized geometry",
  "lattice": [[5.958, 0.000, 0.000], [0.000, 6.327, 0.000], [-2.672, 0.000, 8.217]],
  "species": ["Sc", "Sc", "Sc", "Sc", "Sc", "Sc", "Sc", "Sc", "Sn", "Sn", "Sn", "Sn", "C", "C"],
  "frac_coords": [[0.181, 0.250, 0.055], [0.254, 0.000, 0.725], [0.254, 0.500, 0.725], [0.263, 0.750, 0.345], [0.737, 0.250, 0.655], [0.746, 0.000, 0.275], [0.746, 0.500, 0.275], [0.819, 0.750, 0.945], [0.238, 0.250, 0.414], [0.344, 0.750, 0.030], [0.656, 0.250, 0.970], [0.762, 0.750, 0.586], [0.088, 0.250, 0.801], [0.912, 0.750, 0.199]],
  "total_magnetization_mub_per_cell": 0.00,
  "sg": "P2_1/m, No. 11"
}



## two
{
  "formula": "Sc4Sn2C",
  "functional": "PBE-GGA",
  "state": "optimized geometry",
  "lattice": [[-2.232, 2.232, 7.499], [2.232, -2.232, 7.499], [2.232, 2.232, -7.499]],
  "species": ["Sc", "Sc", "Sc", "Sc", "Sn", "Sn", "C"],
  "frac_coords": [[0.000, 0.500, 0.500], [0.154, 0.154, 0.000], [0.500, 0.000, 0.500], [0.846, 0.846, 0.000], [0.357, 0.357, 0.000], [0.643, 0.643, 0.000], [0.000, 0.000, 0.000]],
  "total_magnetization_mub_per_cell": 0.00,
  "sg": "I4/mmm, No. 139"
}



Stability ranking, top and bottom: two is the most stable and one is the least stable.



## one
{
  "formula": "ScSnC3",
  "functional": "PBE-GGA",
  "state": "optimized geometry",
  "lattice": [[4.227, 0.000, 0.000], [0.000, 4.227, 0.000], [0.000, 0.000, 4.227]],
  "species": ["Sc", "Sn", "C", "C", "C"],
  "frac_coords": [[0.000, 0.000, 0.000], [0.500, 0.500, 0.500], [0.000, 0.500, 0.500], [0.500, 0.000, 0.500], [0.500, 0.500, 0.000]],
  "total_magnetization_mub_per_cell": 0.00,
  "sg": "Pm-3m, No. 221"
}



## two
{
  "formula": "ScSnC3",
  "functional": "PBE-GGA",
  "state": "optimized geometry",
  "lattice": [[4.283, 0.000, 0.000], [0.000, 4.283, 0.000], [0.000, 0.000, 4.283]],
  "species": ["Sc", "Sn", "C", "C", "C"],
  "frac_coords": [[0.000, 0.000, 0.000], [0.500, 0.500, 0.500], [0.000, 0.000, 0.500], [0.000, 0.500, 0.000], [0.500, 0.000, 0.000]],
  "total_magnetization_mub_per_cell": 0.00,
  "sg": "Pm-3m, No. 221"
}



Stability ranking, top and bottom: two is the most stable and one is the least stable.



## one
{
  "formula": "Sr3ScC",
  "functional": "PBE-GGA",
  "state": "optimized geometry",
  "lattice": [[5.541, 0.000, 0.000], [0.000, 5.541, 0.000], [0.000, 0.000, 5.541]],
  "species": ["Sr", "Sr", "Sr", "Sc", "C"],
  "frac_coords": [[0.000, 0.000, 0.500], [0.000, 0.500, 0.000], [0.500, 0.000, 0.000], [0.500, 0.500, 0.500], [0.000, 0.000, 0.000]],
  "total_magnetization_mub_per_cell": 0.84,
  "sg": "Pm-3m, No. 221"
}



## two
{
  "formula": "Sr3ScC",
  "functional": "PBE-GGA",
  "state": "optimized geometry",
  "lattice": [[6.449, 0.000, 0.000], [0.000, 6.449, 0.000], [0.000, 0.000, 6.449]],
  "species": ["Sr", "Sr", "Sr", "Sc", "C"],
  "frac_coords": [[0.000, 0.000, 0.500], [0.000, 0.500, 0.000], [0.500, 0.000, 0.000], [0.000, 0.000, 0.000], [0.500, 0.500, 0.500]],
  "total_magnetization_mub_per_cell": 6.13,
  "sg": "Pm-3m, No. 221"
}



Stability ranking, top and bottom: one is the most stable and two is the least stable.



## one
{
  "formula": "SrScC3",
  "functional": "PBE-GGA",
  "state": "optimized geometry",
  "lattice": [[4.326, 0.000, 0.000], [0.000, 4.326, 0.000], [0.000, 0.000, 4.326]],
  "species": ["Sr", "Sc", "C", "C", "C"],
  "frac_coords": [[0.000, 0.000, 0.000], [0.500, 0.500, 0.500], [0.000, 0.500, 0.500], [0.500, 0.000, 0.500], [0.500, 0.500, 0.000]],
  "total_magnetization_mub_per_cell": 0.00,
  "sg": "Pm-3m, No. 221"
}



## two
{
  "formula": "SrScC3",
  "functional": "PBE-GGA",
  "state": "optimized geometry",
  "lattice": [[4.414, 0.000, 0.000], [0.000, 4.414, 0.000], [0.000, 0.000, 4.414]],
  "species": ["Sr", "Sc", "C", "C", "C"],
  "frac_coords": [[0.000, 0.000, 0.000], [0.500, 0.500, 0.500], [0.000, 0.000, 0.500], [0.000, 0.500, 0.000], [0.500, 0.000, 0.000]],
  "total_magnetization_mub_per_cell": 0.00,
  "sg": "Pm-3m, No. 221"
}



Stability ranking, top and bottom: one is the most stable and two is the least stable.



## one
{
  "formula": "SrSc3C",
  "functional": "PBE-GGA",
  "state": "optimized geometry",
  "lattice": [[4.817, 0.000, 0.000], [0.000, 4.817, 0.000], [0.000, 0.000, 4.817]],
  "species": ["Sr", "Sc", "Sc", "Sc", "C"],
  "frac_coords": [[0.000, 0.000, 0.000], [0.000, 0.500, 0.500], [0.500, 0.000, 0.500], [0.500, 0.500, 0.000], [0.500, 0.500, 0.500]],
  "total_magnetization_mub_per_cell": 0.00,
  "sg": "Pm-3m, No. 221"
}



## two
{
  "formula": "SrSc3C",
  "functional": "PBE-GGA",
  "state": "optimized geometry",
  "lattice": [[5.071, 0.000, 0.000], [0.000, 5.071, 0.000], [0.000, 0.000, 5.071]],
  "species": ["Sr", "Sc", "Sc", "Sc", "C"],
  "frac_coords": [[0.000, 0.000, 0.000], [0.000, 0.000, 0.500], [0.000, 0.500, 0.000], [0.500, 0.000, 0.000], [0.500, 0.500, 0.500]],
  "total_magnetization_mub_per_cell": 0.00,
  "sg": "Pm-3m, No. 221"
}



Stability ranking, top and bottom: one is the most stable and two is the least stable.



## one
{
  "formula": "SrScC2",
  "functional": "PBE-GGA",
  "state": "optimized geometry",
  "lattice": [[0.000, 3.110, 3.110], [3.110, 0.000, 3.110], [3.110, 3.110, 0.000]],
  "species": ["Sr", "Sc", "C", "C"],
  "frac_coords": [[0.000, 0.000, 0.000], [0.500, 0.500, 0.500], [0.250, 0.250, 0.250], [0.750, 0.750, 0.750]],
  "total_magnetization_mub_per_cell": 0.00,
  "sg": "Fm-3m, No. 225"
}



## two
{
  "formula": "SrScC2",
  "functional": "PBE-GGA",
  "state": "optimized geometry",
  "lattice": [[-2.430, 2.430, 6.836], [2.430, -2.430, 6.836], [2.430, 2.430, -6.836]],
  "species": ["Sr", "Sr", "Sc", "Sc", "C", "C", "C", "C"],
  "frac_coords": [[0.000, 0.000, 0.000], [0.750, 0.250, 0.500], [0.250, 0.750, 0.500], [0.500, 0.500, 0.000], [0.251, 0.625, 0.126], [0.375, 0.501, 0.626], [0.499, 0.125, 0.874], [0.875, 0.749, 0.374]],
  "total_magnetization_mub_per_cell": 0.00,
  "sg": "I-42d, No. 122"
}



Stability ranking, top and bottom: two is the most stable and one is the least stable.



## one
{
  "formula": "ScTaC",
  "functional": "PBE-GGA",
  "state": "optimized geometry",
  "lattice": [[3.650, 0.000, 0.000], [0.000, 3.650, 0.000], [0.000, 0.000, 6.579]],
  "species": ["Sc", "Sc", "Ta", "Ta", "C", "C"],
  "frac_coords": [[0.250, 0.250, 0.131], [0.750, 0.750, 0.869], [0.250, 0.750, 0.500], [0.750, 0.250, 0.500], [0.250, 0.250, 0.750], [0.750, 0.750, 0.250]],
  "total_magnetization_mub_per_cell": 1.01,
  "sg": "P4/nmm, No. 129"
}



## two
{
  "formula": "ScTaC",
  "functional": "PBE-GGA",
  "state": "optimized geometry",
  "lattice": [[3.260, 0.000, 0.000], [0.000, 4.379, 0.000], [0.000, 0.000, 6.541]],
  "species": ["Sc", "Sc", "Ta", "Ta", "C", "C"],
  "frac_coords": [[0.250, 0.250, 0.136], [0.750, 0.750, 0.864], [0.250, 0.250, 0.601], [0.750, 0.750, 0.399], [0.250, 0.750, 0.626], [0.750, 0.250, 0.374]],
  "total_magnetization_mub_per_cell": 0.00,
  "sg": "Pmmn, No. 59"
}



Stability ranking, top and bottom: two is the most stable and one is the least stable.



## one
{
  "formula": "ScTaC2",
  "functional": "PBE-GGA",
  "state": "optimized geometry",
  "lattice": [[1.595, 0.921, 5.524], [-1.595, 0.921, 5.524], [0.000, -1.842, 5.524]],
  "species": ["Sc", "Ta", "C", "C"],
  "frac_coords": [[0.000, 0.000, 0.000], [0.174, 0.174, 0.174], [0.581, 0.581, 0.581], [0.762, 0.762, 0.762]],
  "total_magnetization_mub_per_cell": 0.00,
  "sg": "R3m, No. 160"
}



## two
{
  "formula": "ScTaC2",
  "functional": "PBE-GGA",
  "state": "optimized geometry",
  "lattice": [[-2.542, 2.542, 4.718], [2.542, -2.542, 4.718], [2.542, 2.542, -4.718]],
  "species": ["Sc", "Sc", "Ta", "Ta", "C", "C", "C", "C"],
  "frac_coords": [[0.000, 0.000, 0.000], [0.750, 0.250, 0.500], [0.250, 0.750, 0.500], [0.500, 0.500, 0.000], [0.155, 0.625, 0.030], [0.375, 0.405, 0.530], [0.595, 0.125, 0.970], [0.875, 0.845, 0.470]],
  "total_magnetization_mub_per_cell": 0.00,
  "sg": "I-42d, No. 122"
}



Stability ranking, top and bottom: one is the most stable and two is the least stable.



## one
{
  "formula": "ScTaC2",
  "functional": "PBE-GGA",
  "state": "optimized geometry",
  "lattice": [[1.602, 0.925, 5.307], [-1.602, 0.925, 5.307], [0.000, -1.850, 5.307]],
  "species": ["Sc", "Ta", "C", "C"],
  "frac_coords": [[0.000, 0.000, 0.000], [0.500, 0.500, 0.500], [0.245, 0.245, 0.245], [0.755, 0.755, 0.755]],
  "total_magnetization_mub_per_cell": 0.00,
  "sg": "R-3m, No. 166"
}



## two
{
  "formula": "ScTaC2",
  "functional": "PBE-GGA",
  "state": "optimized geometry",
  "lattice": [[0.000, 2.829, 2.829], [2.829, 0.000, 2.829], [2.829, 2.829, 0.000]],
  "species": ["Sc", "Ta", "C", "C"],
  "frac_coords": [[0.000, 0.000, 0.000], [0.500, 0.500, 0.500], [0.250, 0.250, 0.250], [0.750, 0.750, 0.750]],
  "total_magnetization_mub_per_cell": 0.00,
  "sg": "Fm-3m, No. 225"
}



Stability ranking, top and bottom: one is the most stable and two is the least stable.



## one
{
  "formula": "Sc3TaC",
  "functional": "PBE-GGA",
  "state": "optimized geometry",
  "lattice": [[5.029, 0.000, 0.000], [0.000, 5.029, 0.000], [0.000, 0.000, 5.029]],
  "species": ["Sc", "Sc", "Sc", "Ta", "C"],
  "frac_coords": [[0.000, 0.000, 0.500], [0.000, 0.500, 0.000], [0.500, 0.000, 0.000], [0.000, 0.000, 0.000], [0.500, 0.500, 0.500]],
  "total_magnetization_mub_per_cell": 0.00,
  "sg": "Pm-3m, No. 221"
}



## two
{
  "formula": "Sc3TaC",
  "functional": "PBE-GGA",
  "state": "optimized geometry",
  "lattice": [[4.551, 0.000, 0.000], [0.000, 4.551, 0.000], [0.000, 0.000, 4.551]],
  "species": ["Sc", "Sc", "Sc", "Ta", "C"],
  "frac_coords": [[0.000, 0.000, 0.500], [0.000, 0.500, 0.000], [0.500, 0.000, 0.000], [0.500, 0.500, 0.500], [0.000, 0.000, 0.000]],
  "total_magnetization_mub_per_cell": 3.25,
  "sg": "Pm-3m, No. 221"
}



Stability ranking, top and bottom: two is the most stable and one is the least stable.



## one
{
  "formula": "ScTaC3",
  "functional": "PBE-GGA",
  "state": "optimized geometry",
  "lattice": [[3.979, 0.000, 0.000], [0.000, 3.979, 0.000], [0.000, 0.000, 3.979]],
  "species": ["Sc", "Ta", "C", "C", "C"],
  "frac_coords": [[0.000, 0.000, 0.000], [0.500, 0.500, 0.500], [0.000, 0.000, 0.500], [0.000, 0.500, 0.000], [0.500, 0.000, 0.000]],
  "total_magnetization_mub_per_cell": 0.00,
  "sg": "Pm-3m, No. 221"
}



## two
{
  "formula": "ScTaC3",
  "functional": "PBE-GGA",
  "state": "optimized geometry",
  "lattice": [[4.125, 0.000, 0.000], [0.000, 4.125, 0.000], [0.000, 0.000, 4.125]],
  "species": ["Sc", "Ta", "C", "C", "C"],
  "frac_coords": [[0.000, 0.000, 0.000], [0.500, 0.500, 0.500], [0.000, 0.500, 0.500], [0.500, 0.000, 0.500], [0.500, 0.500, 0.000]],
  "total_magnetization_mub_per_cell": 0.00,
  "sg": "Pm-3m, No. 221"
}



Stability ranking, top and bottom: two is the most stable and one is the least stable.